Compound: Tb2In2O5
Source: OQMD via LeMat-Bulk
Functional: PBE-GGA
Structure: relaxed

Lattice parameters (Å, degrees): 7.062 4.178 4.178 90.00 90.00 90.00
Fractional positions:
In: 0.799 0.500 0.500
Tb: 0.000 0.000 0.000
In: 0.201 0.500 0.500
O: 0.239 0.500 0.000
O: 0.761 0.000 0.500
O: 0.761 0.500 0.000
O: 0.500 0.500 0.500
Tb: 0.500 0.000 0.000
O: 0.239 0.000 0.500

Summary:
Calculated total energy, eV for the cell shown: -56.32
Offset from the most stable computed form, meV per atom: 347
V, Å³ per cell: 123.3

---

Compound: TbZnInO3
Source: OQMD via LeMat-Bulk
Functional: PBE-GGA
Structure: relaxed

Lattice parameters (Å, degrees): 8.570 8.570 6.660 90.00 90.00 21.16
Fractional positions:
O: 0.875 0.875 0.042
Tb: 0.000 0.000 0.500
O: 0.265 0.265 0.750
In: 0.684 0.684 0.750
O: 0.125 0.125 0.958
Tb: 0.000 0.000 0.000
O: 0.735 0.735 0.250
Zn: 0.625 0.625 0.250
Zn: 0.375 0.375 0.750
In: 0.316 0.316 0.250
O: 0.125 0.125 0.542
O: 0.875 0.875 0.458

Summary:
Calculated total energy, eV for the cell shown: -62.31
V, Å³ per cell: 176.6

---

Compound: InTc2O4
Source: OQMD via LeMat-Bulk
Functional: PBE-GGA
Structure: relaxed

Lattice parameters (Å, degrees): 6.393 6.393 6.393 119.95 90.08 119.95
Fractional positions:
O: 0.144 0.288 0.431
Tc: 0.875 0.250 0.625
In: 0.000 0.000 0.000
O: 0.144 0.288 0.856
O: 0.606 0.788 0.394
Tc: 0.375 0.250 0.625
Tc: 0.375 0.750 0.625
O: 0.144 0.712 0.856
O: 0.181 0.788 0.394
In: 0.750 0.500 0.250
O: 0.606 0.212 0.819
O: 0.569 0.712 0.856
O: 0.606 0.212 0.394
Tc: 0.375 0.750 0.125

Summary:
Calculated total energy, eV for the cell shown: -99.29
V, Å³ per cell: 184.9

---

Compound: In2Tc2O5
Source: OQMD via LeMat-Bulk
Functional: PBE-GGA
Structure: relaxed

Lattice parameters (Å, degrees): 9.188 3.601 3.601 90.00 90.00 90.00
Fractional positions:
O: 0.129 0.000 0.500
In: 0.260 0.500 0.500
In: 0.740 0.500 0.500
O: 0.871 0.500 0.000
Tc: 0.500 0.000 0.000
Tc: 0.000 0.000 0.000
O: 0.500 0.500 0.500
O: 0.871 0.000 0.500
O: 0.129 0.500 0.000

Summary:
Calculated total energy, eV for the cell shown: -56.32
V, Å³ per cell: 119.2

---

Compound: Zr4TlInO2
Source: OQMD via LeMat-Bulk
Functional: PBE-GGA
Structure: relaxed

Lattice parameters (Å, degrees): 3.276 3.276 15.178 90.00 90.00 120.00
Fractional positions:
Tl: 0.667 0.333 0.500
O: 0.333 0.667 0.751
O: 0.333 0.667 0.249
Zr: 0.000 0.000 0.337
Zr: 0.667 0.333 0.162
Zr: 0.000 0.000 0.663
In: 0.000 0.000 0.000
Zr: 0.667 0.333 0.838

Summary:
Calculated total energy, eV for the cell shown: -59.24
V, Å³ per cell: 141.1

---

Compound: Tm2In2O5
Source: OQMD via LeMat-Bulk
Functional: PBE-GGA
Structure: relaxed

Lattice parameters (Å, degrees): 6.991 4.157 4.157 90.00 90.00 90.00
Fractional positions:
O: 0.500 0.500 0.500
O: 0.761 0.500 0.000
O: 0.761 0.000 0.500
In: 0.200 0.500 0.500
O: 0.239 0.500 0.000
Tm: 0.500 0.000 0.000
Tm: 0.000 0.000 0.000
In: 0.800 0.500 0.500
O: 0.239 0.000 0.500

Summary:
Calculated total energy, eV for the cell shown: -55.15
Offset from the most stable computed form, meV per atom: 532
V, Å³ per cell: 120.8

---

Compound: Tm2In2O5
Source: OQMD via LeMat-Bulk
Functional: PBE-GGA
Structure: relaxed

Lattice parameters (Å, degrees): 8.391 4.023 4.023 90.00 90.00 90.00
Fractional positions:
In: 0.500 0.000 0.000
O: 0.158 0.000 0.500
Tm: 0.754 0.500 0.500
Tm: 0.246 0.500 0.500
O: 0.842 0.000 0.500
O: 0.500 0.500 0.500
O: 0.842 0.500 0.000
In: 0.000 0.000 0.000
O: 0.158 0.500 0.000

Summary:
Calculated total energy, eV for the cell shown: -59.94
Offset from the most stable computed form, meV per atom: 0
V, Å³ per cell: 135.8

---

Compound: TmZnInO3
Source: OQMD via LeMat-Bulk
Functional: PBE-GGA
Structure: relaxed

Lattice parameters (Å, degrees): 8.766 8.766 6.361 90.00 90.00 20.58
Fractional positions:
O: 0.738 0.738 0.250
O: 0.879 0.878 0.472
In: 0.682 0.682 0.750
Zn: 0.629 0.629 0.250
O: 0.122 0.121 0.528
Tm: 0.000 0.000 0.500
In: 0.318 0.318 0.250
Zn: 0.371 0.371 0.750
O: 0.122 0.121 0.972
O: 0.879 0.878 0.028
O: 0.262 0.262 0.750
Tm: 0.000 0.000 0.000

Summary:
Calculated total energy, eV for the cell shown: -62.85
V, Å³ per cell: 171.8

---

Compound: YZnInO3
Source: OQMD via LeMat-Bulk
Functional: PBE-GGA
Structure: relaxed

Lattice parameters (Å, degrees): 6.573 6.573 7.895 90.00 90.00 30.78
Fractional positions:
In: 0.700 0.700 0.250
O: 0.167 0.167 0.914
Zn: 0.388 0.388 0.250
Y: 0.000 0.000 0.000
O: 0.833 0.833 0.086
O: 0.104 0.104 0.250
O: 0.167 0.167 0.586
Y: 0.000 0.000 0.500
Zn: 0.612 0.612 0.750
In: 0.300 0.300 0.750
O: 0.896 0.896 0.750
O: 0.833 0.833 0.414

Summary:
Calculated total energy, eV for the cell shown: -67.48
V, Å³ per cell: 174.5

---

Compound: Zn2In2O5
Source: OQMD via LeMat-Bulk
Functional: PBE-GGA
Structure: relaxed

Lattice parameters (Å, degrees): 7.720 3.769 3.769 90.00 90.00 90.00
Fractional positions:
O: 0.825 0.500 0.000
In: 0.000 0.000 0.000
Zn: 0.239 0.500 0.500
O: 0.175 0.000 0.500
O: 0.175 0.500 0.000
Zn: 0.761 0.500 0.500
In: 0.500 0.000 0.000
O: 0.500 0.500 0.500
O: 0.825 0.000 0.500

Summary:
Calculated total energy, eV for the cell shown: -41.68
Offset from the most stable computed form, meV per atom: 0
V, Å³ per cell: 109.7

---

Compound: Zn2InO4
Source: OQMD via LeMat-Bulk
Functional: PBE-GGA
Structure: relaxed

Lattice parameters (Å, degrees): 6.160 6.160 6.160 120.00 90.00 120.00
Fractional positions:
O: 0.137 0.274 0.411
O: 0.613 0.226 0.387
O: 0.137 0.726 0.863
O: 0.137 0.274 0.863
Zn: 0.375 0.750 0.625
O: 0.161 0.774 0.387
Zn: 0.875 0.250 0.625
O: 0.589 0.726 0.863
In: 0.750 0.500 0.250
In: 0.000 0.000 0.000
O: 0.613 0.774 0.387
Zn: 0.375 0.250 0.625
O: 0.613 0.226 0.839
Zn: 0.375 0.750 0.125

Summary:
Calculated total energy, eV for the cell shown: -67.14
V, Å³ per cell: 165.3

---

Compound: Zn2In2O5
Source: OQMD via LeMat-Bulk
Functional: PBE-GGA
Structure: relaxed

Lattice parameters (Å, degrees): 8.223 3.871 3.871 90.00 90.00 90.00
Fractional positions:
Zn: 0.500 0.000 0.000
O: 0.500 0.500 0.500
O: 0.156 0.500 0.000
Zn: 0.000 0.000 0.000
O: 0.844 0.000 0.500
O: 0.156 0.000 0.500
O: 0.844 0.500 0.000
In: 0.242 0.500 0.500
In: 0.758 0.500 0.500

Summary:
Calculated total energy, eV for the cell shown: -40.02
Offset from the most stable computed form, meV per atom: 185
V, Å³ per cell: 123.2